# CaTl2S | Alexandria | GGA-PBE | optimized geometry
data_CaTl2S
_symmetry_space_group_name_H-M 'I -4 2 d'
_symmetry_Int_Tables_number 122
_symmetry_space_group_name_Hall 'I -4 2bw'
_cell_length_a 9.734
_cell_length_b 9.734
_cell_length_c 5.422
_cell_angle_alpha 90.00
_cell_angle_beta 90.00
_cell_angle_gamma 90.00
loop_
_atom_site_label
_atom_site_fract_x
_atom_site_fract_y
_atom_site_fract_z
Ca1 0.000 0.000 0.000
Tl1 0.169 0.250 0.625
S1 0.000 0.000 0.500
# * E_form (uncorrected): -11.237 kcal/mol of atoms
# * volume: 513.8 Å³/cell
# * magnetic moment: 0.00 μB per cell


# AuCl2 | Alexandria | GGA-PBE | optimized geometry
data_AuCl2
_symmetry_space_group_name_H-M 'F m m m'
_symmetry_Int_Tables_number 69
_symmetry_space_group_name_Hall '-F 2 2'
_cell_length_a 3.661
_cell_length_b 8.022
_cell_length_c 12.779
_cell_angle_alpha 90.00
_cell_angle_beta 90.00
_cell_angle_gamma 90.00
loop_
_atom_site_label
_atom_site_fract_x
_atom_site_fract_y
_atom_site_fract_z
Au1 0.000 0.000 0.000
Cl1 0.000 0.000 0.372
# * E_form (uncorrected): -4.254 kcal/mol of atoms
# * volume: 375.3 Å³/cell
# * magnetic moment: 2.31 μB per cell


# Co2Ni8Ge | Alexandria | GGA-PBE | optimized geometry
data_Co2Ni8Ge
_symmetry_space_group_name_H-M 'C 1 2/m 1'
_symmetry_Int_Tables_number 12
_symmetry_space_group_name_Hall '-C 2y'
_cell_length_a 12.780
_cell_length_b 3.547
_cell_length_c 5.570
_cell_angle_alpha 90.00
_cell_angle_beta 104.72
_cell_angle_gamma 90.00
loop_
_atom_site_label
_atom_site_fract_x
_atom_site_fract_y
_atom_site_fract_z
Co1 0.227 0.000 0.133
Ni1 0.047 0.000 0.226
Ni2 0.093 0.500 0.956
Ni3 0.139 0.000 0.687
Ni4 0.183 0.500 0.412
Ge1 0.000 0.500 0.500
# * ΔE_f: -0.08 eV/atom
# * polymorph energy (0 for the lowest one): 0 meV per atom
# * volume: 244.2 Å³/cell
# * magnetic moment: 13.90 μB per cell


# Nd2Tm5Sc5 | Alexandria | GGA-PBE | optimized geometry
data_Nd2Tm5Sc5
_symmetry_space_group_name_H-M 'C 1 2/m 1'
_symmetry_Int_Tables_number 12
_symmetry_space_group_name_Hall '-C 2y'
_cell_length_a 14.588
_cell_length_b 4.811
_cell_length_c 10.873
_cell_angle_alpha 90.00
_cell_angle_beta 116.65
_cell_angle_gamma 90.00
loop_
_atom_site_label
_atom_site_fract_x
_atom_site_fract_y
_atom_site_fract_z
Nd1 0.082 0.000 0.252
Tm1 0.000 0.000 0.500
Tm2 0.166 0.000 0.999
Tm3 0.246 0.000 0.746
Sc1 0.000 0.500 0.000
Sc2 0.084 0.500 0.748
Sc3 0.167 0.500 0.501
# * ΔE_f: 0.05 eV/atom
# * volume: 682.0 Å³/cell
# * magnetic moment: 0.00 μB per cell


# RbLiBi2Cl8 | Alexandria | GGA-PBE | optimized geometry
data_RbLiBi2Cl8
_symmetry_space_group_name_H-M 'P -1'
_symmetry_Int_Tables_number 2
_symmetry_space_group_name_Hall '-P 1'
_cell_length_a 6.785
_cell_length_b 6.927
_cell_length_c 8.706
_cell_angle_alpha 89.66
_cell_angle_beta 89.55
_cell_angle_gamma 81.10
loop_
_atom_site_label
_atom_site_fract_x
_atom_site_fract_y
_atom_site_fract_z
Rb1 0.000 0.000 0.000
Li1 0.000 0.000 0.500
Bi1 0.500 0.499 0.737
Cl1 0.221 0.820 0.294
Cl2 0.222 0.818 0.706
Cl3 0.302 0.344 0.525
Cl4 0.311 0.354 0.974
# * E_form (uncorrected): -28.999 kcal/mol of atoms
# * volume: 404.2 Å³/cell
# * magnetic moment: 0.00 μB per cell


# GePSe2N | Alexandria | GGA-PBE | optimized geometry
data_GePSe2N
_symmetry_space_group_name_H-M 'P 4/m m m'
_symmetry_Int_Tables_number 123
_symmetry_space_group_name_Hall '-P 4 2'
_cell_length_a 5.145
_cell_length_b 5.145
_cell_length_c 3.294
_cell_angle_alpha 90.00
_cell_angle_beta 90.00
_cell_angle_gamma 90.00
loop_
_atom_site_label
_atom_site_fract_x
_atom_site_fract_y
_atom_site_fract_z
Ge1 0.000 0.000 0.000
P1 0.500 0.500 0.500
Se1 0.000 0.500 0.500
N1 0.500 0.500 0.000
# * E_form (uncorrected): 11.416 kcal/mol of atoms
# * polymorph energy (0 for the lowest one): 0 meV per atom
# * volume: 87.2 Å³/cell
# * magnetic moment: 0.00 μB per cell


Question: What is the formula in the fourth record?
Answer: Nd2Tm5Sc5